(1)
Compound: ScSb2Br
Source: Alexandria
Functional: PBE
Structure: relaxed

Cell: 5.526 5.526 3.315 Å, 90.00 90.00 90.00°
Element x y z (fractional)
Sb (0.000, 0.000, 0.000)
Br (0.000, 0.500, 0.500)
Sc (0.500, 0.000, 0.500)
Sb (0.500, 0.500, 0.000)

Computed properties:
- Final energy: -4.226 eV/atom
- V: 101.23 Å³ per cell
- Space group: P4/mmm (123)
- E_form (uncorrected): -0.65 eV/f.u.



(2)
Compound: ScSbBr2
Source: Alexandria
Functional: PBE
Structure: relaxed

Cell: 3.836 4.456 8.433 Å, 64.48 90.00 90.00°
Element x y z (fractional)
Sc (0.500, 0.972, 0.659)
Sb (0.000, 0.525, 0.598)
Br (0.000, 0.908, 0.917)
Br (0.500, 0.095, 0.326)

Computed properties:
- Final energy: -4.362 eV/atom
- V: 130.08 Å³ per cell
- Space group: Pm (6)
- E_form (uncorrected): -3.65 eV/f.u.



(3)
Compound: ScSb2Br
Source: Alexandria
Functional: PBE
Structure: relaxed

Cell: 3.632 3.632 8.524 Å, 90.00 90.00 90.00°
Element x y z (fractional)
Sc (0.000, 0.000, 0.473)
Sb (0.000, 0.000, 0.082)
Br (0.500, 0.500, 0.668)
Sb (0.500, 0.500, 0.277)

Computed properties:
- Final energy: -4.586 eV/atom
- V: 112.44 Å³ per cell
- Space group: P4mm (99)
- E_form (uncorrected): -2.10 eV/f.u.



(4)
Compound: ScSb2Br
Source: Alexandria
Functional: PBE
Structure: relaxed

Cell: 4.187 4.246 7.194 Å, 53.88 90.00 90.00°
Element x y z (fractional)
Sb (0.500, 0.500, 0.000)
Sc (0.500, 0.500, 0.500)
Sb (0.000, 0.000, 0.000)
Br (0.000, 0.000, 0.500)

Computed properties:
- Final energy: -4.406 eV/atom
- V: 103.32 Å³ per cell
- Space group: P2/m (10)
- E_form (uncorrected): -1.38 eV/f.u.



V of number 1 (ScSb2Br)?
101.23 Å³ per cell